First-principles (PBE) data for PmZrIn after structural relaxation, as listed in the Alexandria database.

Unit cell a=3.167 b=5.252 c=5.252 alpha=120.00 beta=90.00 gamma=90.00
Positions (direct):
Zr 0.165 0.333 0.667
Pm 0.168 0.000 0.000
In 0.667 0.667 0.333

Its space group is P3m1 (156). As for the formation energy: 43 meV per atom. The crystal system is trigonal. For the relative energy among the computed polymorphs, the calculation gives 201 meV per atom. The value obtained for the magnetic moment is 0.0 μB/f.u.

---

First-principles (PBE) data for CsCuAgHg2 after structural relaxation, as listed in the Alexandria database.

Unit cell a=5.308 b=5.308 c=5.347 alpha=90.00 beta=90.00 gamma=90.00
Positions (direct):
Cu 0.000 0.000 0.000
Cs 0.500 0.500 0.500
Hg 0.000 0.500 0.000
Hg 0.500 0.000 0.000
Ag 0.000 0.000 0.500

Its space group is P4/mmm (123). As for the formation energy: 18 meV per atom. The crystal system is tetragonal. For the relative energy among the computed polymorphs, the calculation gives 0 meV per atom. The value obtained for the magnetic moment is 0.0 μB/f.u.

---

First-principles (PBE) data for Sm6BiTe3P2 after structural relaxation, as listed in the Alexandria database.

Unit cell a=4.298 b=8.821 c=9.809 alpha=104.01 beta=102.65 gamma=90.00
Positions (direct):
P 0.170 0.338 0.340
P 0.830 0.662 0.660
Sm 0.983 0.740 0.966
Sm 0.323 0.435 0.647
Sm 0.677 0.565 0.353
Sm 0.328 0.880 0.655
Sm 0.672 0.120 0.345
Sm 0.017 0.260 0.034
Bi 0.500 0.000 0.000
Te 0.840 0.167 0.679
Te 0.160 0.833 0.321
Te 0.500 0.500 0.000

Its formation energy (no corrections) is -1429 meV/atom. Its space group is C2/m (12). The crystal system is monoclinic. The value obtained for the magnetic moment is 0.0 μB/f.u.

---

First-principles (PBE) data for ZnAs2W after structural relaxation, as listed in the Alexandria database.

Unit cell a=2.850 b=2.850 c=9.736 alpha=90.00 beta=90.00 gamma=108.50
Positions (direct):
As 0.500 0.500 0.309
As 0.000 0.000 0.945
W 0.000 0.000 0.512
Zn 0.500 0.500 0.734

Its space group is Cmm2 (35). As for the formation energy: 304 meV per atom. The crystal system is orthorhombic. The value obtained for the magnetic moment is 0.0 μB/f.u.

---

First-principles (PBE) data for CaRe2Au after structural relaxation, as listed in the Alexandria database.

Unit cell a=4.633 b=4.633 c=4.633 alpha=120.16 beta=120.16 gamma=89.73
Positions (direct):
Re 0.250 0.750 0.500
Re 0.000 0.000 0.000
Au 0.500 0.500 0.000
Ca 0.750 0.250 0.500

Its space group is I-4m2 (119). As for the formation energy: 555 meV per atom. The crystal system is tetragonal. For the relative energy among the computed polymorphs, the calculation gives 395 meV per atom. The value obtained for the magnetic moment is 0.0 μB/f.u.

---

First-principles (PBE) data for Y2ScPd after structural relaxation, as listed in the Alexandria database.

Unit cell a=3.595 b=3.595 c=7.756 alpha=90.00 beta=90.00 gamma=90.00
Positions (direct):
Y 0.000 0.000 0.783
Y 0.000 0.000 0.217
Sc 0.500 0.500 0.500
Pd 0.500 0.500 0.000

Its space group is P4/mmm (123). As for the formation energy: -386 meV per atom. The crystal system is tetragonal. For the relative energy among the computed polymorphs, the calculation gives 0 meV per atom. The value obtained for the magnetic moment is 0.0 μB/f.u.

---

First-principles (PBE) data for ScRe2Br after structural relaxation, as listed in the Alexandria database.

Unit cell a=2.893 b=2.893 c=9.291 alpha=90.00 beta=90.00 gamma=116.25
Positions (direct):
Sc 0.500 0.500 0.250
Re 0.000 0.000 0.494
Re 0.000 0.000 0.006
Br 0.500 0.500 0.750

Its formation energy (no corrections) is 804 meV/atom. Its space group is Cmmm (65). The crystal system is orthorhombic. For the relative energy among the computed polymorphs, the calculation gives 881 meV per atom. The value obtained for the magnetic moment is 0.0 μB/f.u.

---

First-principles (PBE) data for K3RbHgO after structural relaxation, as listed in the Alexandria database.

Unit cell a=7.153 b=8.372 c=10.500 alpha=66.51 beta=76.76 gamma=54.92
Positions (direct):
O 0.250 0.950 0.100
O 0.750 0.050 0.900
Hg 0.250 0.257 0.485
Hg 0.750 0.743 0.515
K 0.460 0.110 0.113
K 0.040 0.777 0.113
K 0.540 0.890 0.887
K 0.750 0.181 0.637
K 0.960 0.223 0.887
K 0.250 0.819 0.363
Rb 0.250 0.609 0.782
Rb 0.750 0.391 0.218

Its formation energy (no corrections) is -503 meV/atom. Its space group is C2/c (15). The crystal system is monoclinic. The value obtained for the magnetic moment is 0.0 μB/f.u.

---

First-principles (PBE) data for Rb2Ag2S after structural relaxation, as listed in the Alexandria database.

Unit cell a=6.752 b=6.752 c=6.080 alpha=56.27 beta=56.27 gamma=90.00
Positions (direct):
Ag 0.326 0.326 0.348
Ag 0.674 0.674 0.652
Rb 0.750 0.250 0.500
Rb 0.250 0.750 0.500
S 0.000 0.000 0.000

Its formation energy (no corrections) is -306 meV/atom. Its space group is I4/mmm (139). The crystal system is tetragonal. The value obtained for the magnetic moment is 0.0 μB/f.u.

---

First-principles (PBE) data for FeSiHgBiPt after structural relaxation, as listed in the Alexandria database.

Unit cell a=3.513 b=4.297 c=8.845 alpha=85.37 beta=89.54 gamma=65.90
Last column: magnetic moment on the atom in μB.
Positions (direct):
Bi 0.445 0.922 0.206  -0.09
Pt 0.459 0.880 0.549  -0.01
Si 0.154 0.491 0.533  -0.06
Hg 0.436 0.923 0.858  -0.01
Fe 0.756 0.294 0.381  2.26

Its formation energy (no corrections) is -18 meV/atom. Its space group is P1 (1). The crystal system is triclinic. For the relative energy among the computed polymorphs, the calculation gives 40 meV per atom. The value obtained for the magnetic moment is 2.1 μB/f.u.

---

First-principles (PBE) data for La3OsN4 after structural relaxation, as listed in the Alexandria database.

Unit cell a=5.495 b=6.950 c=7.737 alpha=90.00 beta=90.00 gamma=90.00
Positions (direct):
Os 0.059 0.178 0.000
Os 0.559 0.822 0.500
La 0.042 0.670 0.252
La 0.045 0.128 0.500
La 0.545 0.872 0.000
La 0.042 0.670 0.748
La 0.542 0.330 0.752
La 0.542 0.330 0.248
N 0.053 0.309 0.777
N 0.053 0.309 0.223
N 0.166 0.811 0.500
N 0.553 0.691 0.277
N 0.556 0.101 0.500
N 0.553 0.691 0.723
N 0.666 0.189 0.000
N 0.056 0.899 0.000

Its formation energy (no corrections) is -741 meV/atom. Its space group is Pmn2_1 (31). The crystal system is orthorhombic. The value obtained for the magnetic moment is 0.0 μB/f.u.

---

First-principles (PBE) data for CuIr2W after structural relaxation, as listed in the Alexandria database.

Unit cell a=9.075 b=9.075 c=9.075 alpha=17.39 beta=17.39 gamma=17.39
Last column: magnetic moment on the atom in μB.
Positions (direct):
Ir 0.249 0.249 0.249  0.01
Ir 0.002 0.002 0.002  0.28
W 0.500 0.500 0.500  0.02
Cu 0.749 0.749 0.749  0.02

Its space group is R3m (160). As for the formation energy: 111 meV per atom. The crystal system is trigonal. For the relative energy among the computed polymorphs, the calculation gives 270 meV per atom. The value obtained for the magnetic moment is 0.3 μB/f.u.

---

First-principles (PBE) data for Li2DySc after structural relaxation, as listed in the Alexandria database.

Unit cell a=3.204 b=3.204 c=11.717 alpha=82.14 beta=82.14 gamma=60.00
Last column: magnetic moment on the atom in μB.
Positions (direct):
Li 0.086 0.086 0.742  0.00
Li 0.914 0.914 0.258  0.00
Sc 0.000 0.000 0.000  0.07
Dy 0.500 0.500 0.500  0.00

Its space group is R-3m (166). As for the formation energy: 314 meV per atom. The crystal system is trigonal. For the relative energy among the computed polymorphs, the calculation gives 127 meV per atom. The value obtained for the magnetic moment is 0.1 μB/f.u.

---

Number 1: ρ 7.71 g/cm³. Number 2: ρ 7.78 g/cm³. Number 3: ρ 7.35 g/cm³. Number 4: ρ 8.84 g/cm³. Number 5: ρ 14.43 g/cm³. Number 6: ρ 5.45 g/cm³. Number 7: ρ 11.84 g/cm³. Number 8: ρ 2.95 g/cm³. Number 9: ρ 4.05 g/cm³. Number 10: ρ 9.42 g/cm³. Number 11: ρ 7.45 g/cm³. Number 12: ρ 18.01 g/cm³. Number 13: ρ 3.57 g/cm³.